Computed, not measured: a relaxed La5ZnHg crystal at the PBE level of DFT.

Computed properties:
Formation energy from the elements (kJ/mol of atoms): -13
Uncorrected energy (eV/atom): -3.879
M_tot (μB per formula unit): 0.00

abc: 9.672 14.524 6.604
angles: 90.00 100.03 90.00
Space group C2/c (No. 15)
Inequivalent atoms, fractional coordinates:
La1 0.000 0.210 0.250 [4 per cell]
La2 0.181 0.407 0.669 [8 per cell]
La3 0.196 0.154 0.809 [8 per cell]
Zn1 0.000 0.426 0.250 [4 per cell]
Hg1 0.000 0.000 0.000 [4 per cell]